# 1
Crystalline TbEr2Pt2 at its relaxed geometry. Source: Alexandria, functional PBE.

Values from the calculation:
- Magnetic moment: 0.00 μB/f.u.
- Calculated density: 11.59 g cm⁻³
- Crystal system: monoclinic
- Symmetry: P2_1/m, No. 11
- Energy relative to the elements: -1.07 eV per atom
- Uncorrected energy: -31.18 eV/f.u.
- Polymorph energy (0 for the lowest one): 0.000 eV per formula unit

POSCAR file:
```
TbEr2Pt2
1.0
5.436 0.000 0.000
0.000 4.550 0.000
-1.417 0.000 10.240
Tb Er Pt
2 4 4
direct
0.095 0.250 0.288
0.905 0.750 0.712
0.254 0.250 0.967
0.389 0.250 0.618
0.611 0.750 0.382
0.746 0.750 0.033
0.155 0.750 0.474
0.268 0.750 0.137
0.732 0.250 0.863
0.845 0.250 0.526
```

# 2
Crystalline Tm3Ga3Ru2 at its relaxed geometry. Source: Alexandria, functional PBE.

Values from the calculation:
- Magnetic moment: 0.00 μB/f.u.
- Calculated density: 9.46 g cm⁻³
- Crystal system: orthorhombic
- Symmetry: Pnma, No. 62
- Energy relative to the elements: -0.58 eV per atom
- Uncorrected energy: -45.70 eV/f.u.

POSCAR file:
```
Tm3Ga3Ru2
1.0
7.472 0.000 0.000
0.000 15.214 0.000
0.000 0.000 5.671
Tm Ga Ru
12 12 8
direct
0.038 0.109 0.108
0.038 0.391 0.108
0.171 0.250 0.631
0.329 0.750 0.131
0.462 0.609 0.608
0.462 0.891 0.608
0.538 0.109 0.392
0.538 0.391 0.392
0.671 0.250 0.869
0.829 0.750 0.369
0.962 0.609 0.892
0.962 0.891 0.892
0.168 0.034 0.588
0.168 0.466 0.588
0.173 0.750 0.628
0.327 0.250 0.128
0.332 0.534 0.088
0.332 0.966 0.088
0.668 0.034 0.912
0.668 0.466 0.912
0.673 0.750 0.872
0.827 0.250 0.372
0.832 0.534 0.412
0.832 0.966 0.412
0.129 0.610 0.367
0.129 0.890 0.367
0.371 0.110 0.867
0.371 0.390 0.867
0.629 0.610 0.133
0.629 0.890 0.133
0.871 0.110 0.633
0.871 0.390 0.633
```

# 3
Crystalline AlBTeI2 at its relaxed geometry. Source: Alexandria, functional PBE.

Values from the calculation:
- Magnetic moment: 0.00 μB/f.u.
- Calculated density: 4.15 g cm⁻³
- Crystal system: tetragonal
- Symmetry: P4/mmm, No. 123
- Uncorrected energy: -11.90 eV/f.u.
- Polymorph energy (0 for the lowest one): 1.198 eV per formula unit

POSCAR file:
```
AlBTeI2
1.0
5.527 0.000 0.000
0.000 5.527 0.000
0.000 0.000 5.492
Al B Te I
1 1 1 2
direct
0.000 0.000 0.000
0.500 0.500 0.500
0.000 0.000 0.500
0.000 0.500 0.000
0.500 0.000 0.000
```

# 4
Crystalline CsGaP3HO10 at its relaxed geometry. Source: Alexandria, functional PBE.

Values from the calculation:
- Magnetic moment: 0.00 μB/f.u.
- Calculated density: 3.15 g cm⁻³
- Crystal system: orthorhombic
- Symmetry: Pca2_1, No. 29
- Uncorrected energy: -106.57 eV/f.u.

POSCAR file:
```
CsGaP3HO10
1.0
11.953 0.000 0.000
0.000 5.052 0.000
0.000 0.000 15.955
Cs Ga P H O
4 4 12 4 40
direct
0.119 0.023 0.000
0.381 0.023 0.500
0.619 0.977 0.000
0.881 0.977 0.500
0.183 0.001 0.263
0.317 0.001 0.763
0.683 0.999 0.263
0.817 0.999 0.763
0.068 0.762 0.759
0.097 0.503 0.372
0.238 0.503 0.650
0.262 0.503 0.150
0.403 0.503 0.872
0.432 0.762 0.259
0.568 0.238 0.759
0.597 0.497 0.372
0.738 0.497 0.650
0.762 0.497 0.150
0.903 0.497 0.872
0.932 0.238 0.259
0.136 0.491 0.508
0.364 0.491 0.008
0.636 0.509 0.508
0.864 0.509 0.008
0.024 0.556 0.828
0.029 0.083 0.223
0.066 0.453 0.466
0.113 0.576 0.686
0.122 0.795 0.359
0.162 0.913 0.801
0.177 0.689 0.190
0.185 0.311 0.339
0.229 0.545 0.555
0.243 0.210 0.169
0.257 0.210 0.669
0.271 0.545 0.055
0.315 0.311 0.839
0.323 0.689 0.690
0.338 0.913 0.301
0.378 0.795 0.859
0.387 0.576 0.186
0.434 0.453 0.966
0.471 0.083 0.723
0.476 0.556 0.328
0.524 0.444 0.828
0.529 0.917 0.223
0.566 0.547 0.466
0.613 0.424 0.686
0.622 0.205 0.359
0.662 0.087 0.801
0.677 0.311 0.190
0.685 0.689 0.339
0.729 0.455 0.555
0.743 0.790 0.169
0.757 0.790 0.669
0.771 0.455 0.055
0.815 0.689 0.839
0.823 0.311 0.690
0.838 0.087 0.301
0.878 0.205 0.859
0.887 0.424 0.186
0.934 0.547 0.966
0.971 0.917 0.723
0.976 0.444 0.328
```

# 5
Crystalline La3CdIr at its relaxed geometry. Source: Alexandria, functional PBE.

Values from the calculation:
- Magnetic moment: 0.00 μB/f.u.
- Calculated density: 7.77 g cm⁻³
- Crystal system: monoclinic
- Symmetry: P2_1/c, No. 14
- Energy relative to the elements: -0.41 eV per atom
- Uncorrected energy: -26.61 eV/f.u.
- Polymorph energy (0 for the lowest one): 0.387 eV per formula unit

POSCAR file:
```
La3CdIr
1.0
8.579 0.000 0.000
0.000 6.619 0.000
-4.724 0.000 10.861
La Cd Ir
12 4 4
direct
0.022 0.133 0.377
0.022 0.367 0.877
0.293 0.620 0.462
0.293 0.880 0.962
0.457 0.076 0.656
0.457 0.424 0.156
0.543 0.576 0.844
0.543 0.924 0.344
0.707 0.120 0.038
0.707 0.380 0.538
0.978 0.633 0.123
0.978 0.867 0.623
0.138 0.115 0.147
0.138 0.385 0.647
0.862 0.615 0.353
0.862 0.885 0.853
0.359 0.248 0.390
0.359 0.252 0.890
0.641 0.748 0.110
0.641 0.752 0.610
```

# 6
Crystalline Ac2PuAs3Rh12 at its relaxed geometry. Source: Alexandria, functional PBE.

Values from the calculation:
- Magnetic moment: 3.05 μB/f.u.
- Calculated density: 9.85 g cm⁻³
- Crystal system: trigonal
- Symmetry: R-3m, No. 166
- Energy relative to the elements: -0.12 eV per atom
- Uncorrected energy: -126.85 eV/f.u.

POSCAR file:
```
Ac2PuAs3Rh12
1.0
4.113 2.375 6.209
-4.113 2.375 6.209
0.000 -4.750 6.209
Ac Pu As Rh
2 1 3 12
direct
0.107 0.107 0.107
0.893 0.893 0.893
0.500 0.500 0.500
0.000 0.500 0.500
0.500 0.000 0.500
0.500 0.500 0.000
0.122 0.632 0.632
0.145 0.145 0.600
0.145 0.600 0.145
0.368 0.368 0.878
0.368 0.878 0.368
0.400 0.855 0.855
0.600 0.145 0.145
0.632 0.122 0.632
0.632 0.632 0.122
0.855 0.400 0.855
0.855 0.855 0.400
0.878 0.368 0.368
```

# 7
Crystalline TlCrHg at its relaxed geometry. Source: Alexandria, functional PBE.

Values from the calculation:
- Magnetic moment: 4.13 μB/f.u.
- Calculated density: 11.00 g cm⁻³
- Crystal system: trigonal
- Symmetry: P3m1, No. 156
- Energy relative to the elements: 0.49 eV per atom
- Uncorrected energy: -10.83 eV/f.u.
- Polymorph energy (0 for the lowest one): 0.118 eV per formula unit

POSCAR file:
```
TlCrHg
1.0
3.392 0.000 0.000
-1.696 2.938 0.000
0.000 0.000 6.921
Tl Cr Hg
1 1 1
direct
0.000 0.000 0.000
0.667 0.333 0.327
0.333 0.667 0.627
```

# 8
Crystalline Zr2BeSb at its relaxed geometry. Source: Alexandria, functional PBE.

Values from the calculation:
- Magnetic moment: 0.00 μB/f.u.
- Calculated density: 6.35 g cm⁻³
- Crystal system: tetragonal
- Symmetry: I-42d, No. 122
- Uncorrected energy: -25.17 eV/f.u.
- Polymorph energy (0 for the lowest one): 1.841 eV per formula unit

POSCAR file:
```
Zr2BeSb
1.0
-3.708 3.708 2.977
3.708 -3.708 2.977
3.708 3.708 -2.977
Zr Be Sb
4 2 2
direct
0.101 0.625 0.976
0.375 0.351 0.476
0.649 0.125 0.024
0.875 0.899 0.524
0.000 0.000 0.000
0.750 0.250 0.500
0.250 0.750 0.500
0.500 0.500 0.000
```

# 9
Crystalline Li2BiF6 at its relaxed geometry. Source: Alexandria, functional PBE.

Values from the calculation:
- Magnetic moment: 0.00 μB/f.u.
- Calculated density: 4.83 g cm⁻³
- Crystal system: monoclinic
- Symmetry: C2/m, No. 12
- Uncorrected energy: -40.92 eV/f.u.
- Polymorph energy (0 for the lowest one): 0.222 eV per formula unit

POSCAR file:
```
Li2BiF6
1.0
5.232 -1.970 0.000
5.232 1.970 0.000
-3.832 0.000 5.617
Li Bi F
2 1 6
direct
0.177 0.177 0.109
0.823 0.823 0.891
0.000 0.000 0.500
0.028 0.028 0.205
0.240 0.240 0.846
0.369 0.369 0.452
0.631 0.631 0.548
0.760 0.760 0.154
0.972 0.972 0.795
```

# 10
Crystalline La4Al at its relaxed geometry. Source: Alexandria, functional PBE.

Values from the calculation:
- Magnetic moment: 0.00 μB/f.u.
- Calculated density: 5.98 g cm⁻³
- Crystal system: triclinic
- Symmetry: P-1, No. 2
- Energy relative to the elements: -0.12 eV per atom
- Uncorrected energy: -24.04 eV/f.u.
- Polymorph energy (0 for the lowest one): 0.000 eV per formula unit

POSCAR file:
```
La4Al
1.0
5.326 0.000 0.000
-2.660 6.000 0.000
-0.010 -3.168 10.118
La Al
8 2
direct
0.019 0.038 0.340
0.128 0.255 0.009
0.324 0.647 0.795
0.335 0.669 0.449
0.665 0.331 0.551
0.676 0.353 0.205
0.872 0.745 0.991
0.981 0.962 0.660
0.397 0.794 0.167
0.603 0.206 0.833
```

# 11
Crystalline Pu3ZnSi3 at its relaxed geometry. Source: Alexandria, functional PBE.

Values from the calculation:
- Magnetic moment: 5.63 μB/f.u.
- Calculated density: 10.90 g cm⁻³
- Crystal system: monoclinic
- Symmetry: C2/m, No. 12
- Uncorrected energy: -63.16 eV/f.u.

POSCAR file:
```
Pu3ZnSi3
1.0
5.131 -2.062 0.000
5.131 2.062 0.000
-3.129 0.000 12.700
Pu Zn Si
6 2 6
direct
0.092 0.092 0.395
0.101 0.101 0.896
0.286 0.286 0.681
0.714 0.714 0.319
0.899 0.899 0.104
0.908 0.908 0.605
0.196 0.196 0.147
0.804 0.804 0.853
0.385 0.385 0.444
0.396 0.396 0.938
0.420 0.420 0.267
0.580 0.580 0.733
0.604 0.604 0.062
0.615 0.615 0.556
```

# 12
Crystalline LaP2CCl at its relaxed geometry. Source: Alexandria, functional PBE.

Values from the calculation:
- Magnetic moment: 0.89 μB/f.u.
- Calculated density: 4.26 g cm⁻³
- Crystal system: tetragonal
- Symmetry: P4/mmm, No. 123
- Uncorrected energy: -21.92 eV/f.u.
- Polymorph energy (0 for the lowest one): 4.846 eV per formula unit

POSCAR file:
```
LaP2CCl
1.0
4.716 0.000 0.000
0.000 4.716 0.000
0.000 0.000 4.356
La P C Cl
1 2 1 1
direct
0.000 0.000 0.000
0.000 0.500 0.500
0.500 0.000 0.500
0.500 0.500 0.000
0.500 0.500 0.500
```

# 13
Crystalline GeHPd2Pt at its relaxed geometry. Source: Alexandria, functional PBE.

Values from the calculation:
- Magnetic moment: 0.00 μB/f.u.
- Calculated density: 12.33 g cm⁻³
- Crystal system: tetragonal
- Symmetry: P4/mmm, No. 123
- Uncorrected energy: -25.31 eV/f.u.
- Polymorph energy (0 for the lowest one): 0.000 eV per formula unit

POSCAR file:
```
GeHPd2Pt
1.0
4.022 0.000 0.000
0.000 4.022 0.000
0.000 0.000 4.010
Ge H Pd Pt
1 1 2 1
direct
0.000 0.000 0.000
0.500 0.500 0.500
0.000 0.500 0.500
0.500 0.000 0.500
0.500 0.500 0.000
```